No. 1
# SiCl3 (PBE, optimized geometry)
data_SiCl3
_chemical_formula_sum 'Si1 Cl3'
_cell_length_a 3.587
_cell_length_b 3.587
_cell_length_c 9.822
_cell_angle_alpha 90.00
_cell_angle_beta 90.00
_cell_angle_gamma 128.29
_space_group_name_H-M_alt 'P 1'
_space_group_IT_number 1
loop_
_space_group_symop_operation_xyz
'x,y,z'
loop_
_atom_site_label
_atom_site_type_symbol
_atom_site_fract_x
_atom_site_fract_y
_atom_site_fract_z
Cl1 Cl 0.500 0.500 0.750
Cl2 Cl 0.000 0.000 0.067
Cl3 Cl 0.000 0.000 0.433
Si1 Si 0.500 0.500 0.250
# volume: 99.19 Å³/f.u.
# relative energy among the computed polymorphs: 3.610 eV/f.u.
# uncorrected formation energy: 0.066 eV/atom
# SG: Cmmm (65)



No. 2
# Si5Cl4 (PBE, optimized geometry)
data_Si5Cl4
_chemical_formula_sum 'Si10 Cl8'
_cell_length_a 10.483
_cell_length_b 10.483
_cell_length_c 4.688
_cell_angle_alpha 90.00
_cell_angle_beta 90.00
_cell_angle_gamma 120.00
_space_group_name_H-M_alt 'P 1'
_space_group_IT_number 1
loop_
_space_group_symop_operation_xyz
'x,y,z'
loop_
_atom_site_label
_atom_site_type_symbol
_atom_site_fract_x
_atom_site_fract_y
_atom_site_fract_z
Si1 Si 0.333 0.667 0.500
Si2 Si 0.000 0.527 0.750
Si3 Si 0.473 0.473 0.750
Si4 Si 0.667 0.333 0.500
Si5 Si 0.527 0.527 0.250
Si6 Si 0.667 0.333 0.000
Si7 Si 0.333 0.667 0.000
Si8 Si 0.473 0.000 0.250
Si9 Si 0.000 0.473 0.250
Si10 Si 0.527 0.000 0.750
Cl1 Cl 0.279 0.000 0.250
Cl2 Cl 0.000 0.000 0.000
Cl3 Cl 0.279 0.279 0.750
Cl4 Cl 0.721 0.721 0.250
Cl5 Cl 0.721 0.000 0.750
Cl6 Cl 0.000 0.279 0.250
Cl7 Cl 0.000 0.000 0.500
Cl8 Cl 0.000 0.721 0.750
# volume: 223.09 Å³/f.u.
# uncorrected formation energy: 0.070 eV/atom
# SG: P6_3/mcm (193)



No. 3
# SiCl3 (PBE, optimized geometry)
data_SiCl3
_chemical_formula_sum 'Si2 Cl6'
_cell_length_a 7.398
_cell_length_b 7.398
_cell_length_c 7.491
_cell_angle_alpha 60.41
_cell_angle_beta 60.41
_cell_angle_gamma 90.00
_space_group_name_H-M_alt 'P 1'
_space_group_IT_number 1
loop_
_space_group_symop_operation_xyz
'x,y,z'
loop_
_atom_site_label
_atom_site_type_symbol
_atom_site_fract_x
_atom_site_fract_y
_atom_site_fract_z
Cl1 Cl 0.413 0.125 0.250
Cl2 Cl 0.000 0.000 0.000
Cl3 Cl 0.750 0.250 0.500
Cl4 Cl 0.337 0.625 0.250
Cl5 Cl 0.875 0.663 0.750
Cl6 Cl 0.375 0.587 0.750
Si1 Si 0.250 0.750 0.500
Si2 Si 0.500 0.500 0.000
# volume: 146.71 Å³/f.u.
# relative energy among the computed polymorphs: 2.889 eV/f.u.
# uncorrected formation energy: -0.114 eV/atom
# SG: I-42d (122)



No. 4
# Si2Cl (PBE, optimized geometry)
data_Si2Cl
_chemical_formula_sum 'Si4 Cl2'
_cell_length_a 8.156
_cell_length_b 8.156
_cell_length_c 2.942
_cell_angle_alpha 90.00
_cell_angle_beta 90.00
_cell_angle_gamma 146.94
_space_group_name_H-M_alt 'P 1'
_space_group_IT_number 1
loop_
_space_group_symop_operation_xyz
'x,y,z'
loop_
_atom_site_label
_atom_site_type_symbol
_atom_site_fract_x
_atom_site_fract_y
_atom_site_fract_z
Si1 Si 0.282 0.718 0.250
Si2 Si 0.578 0.422 0.250
Si3 Si 0.718 0.282 0.750
Si4 Si 0.422 0.578 0.750
Cl1 Cl 0.092 0.908 0.750
Cl2 Cl 0.908 0.092 0.250
# volume: 53.37 Å³/f.u.
# relative energy among the computed polymorphs: 2.520 eV/f.u.
# uncorrected formation energy: 0.387 eV/atom
# SG: Cmcm (63)